The following is a GGA+U calculation of CrCdGa2O after structural relaxation, from Alexandria.

Values from the calculation:
* N(E_F): 0.3941 states/eV/atom
* space group: P4/mmm
* uncorrected energy: -15.646 eV/cell

Cell lengths 4.944, 5.283, 4.944 Å; angles 90.00, 90.00, 90.00 degrees
Site moments in Bohr magnetons follow the coordinates.
Fractional coordinates of all 5 atoms:
1 O 0.500 0.500 0.500  0.93
2 Cr 0.000 0.000 0.000  4.03
3 Ga 0.500 0.000 0.000  0.02
4 Ga 0.000 0.000 0.500  0.07
5 Cd 0.000 0.500 0.000  0.04